No. 1
# PmY2Sn2, relaxed, DFT PBE
# Energy of formation from the pure elements = -627 meV/atom
# Crystal system = orthorhombic
data_PmY2Sn2
_cell_length_a 4.893
_cell_length_b 18.715
_cell_length_c 6.560
_cell_angle_alpha 90.00
_cell_angle_beta 90.00
_cell_angle_gamma 90.00
_symmetry_space_group_name_H-M 'C m c 21'
_symmetry_Int_Tables_number 36
loop_
_symmetry_equiv_pos_as_xyz
'x,y,z'
'-x,-y,z+1/2'
'-x,y,z'
'x,-y,z+1/2'
'x+1/2,y+1/2,z'
'-x+1/2,-y+1/2,z+1/2'
'-x+1/2,y+1/2,z'
'x+1/2,-y+1/2,z+1/2'
loop_
_atom_site_label
_atom_site_fract_x
_atom_site_fract_y
_atom_site_fract_z
Pm1 0.000 0.108 0.000
Y1 0.000 0.314 0.015
Y2 0.000 0.497 0.753
Sn1 0.000 0.073 0.504
Sn2 0.000 0.296 0.519



No. 2
# SmDy6Er6, relaxed, DFT PBE
# Energy of formation from the pure elements = 223 meV/atom
# Crystal system = monoclinic
data_SmDy6Er6
_cell_length_a 6.545
_cell_length_b 10.965
_cell_length_c 6.546
_cell_angle_alpha 90.00
_cell_angle_beta 115.38
_cell_angle_gamma 90.00
_symmetry_space_group_name_H-M 'P 1 2/m 1'
_symmetry_Int_Tables_number 10
loop_
_symmetry_equiv_pos_as_xyz
'x,y,z'
'-x,-y,-z'
'-x,y,-z'
'x,-y,z'
loop_
_atom_site_label
_atom_site_fract_x
_atom_site_fract_y
_atom_site_fract_z
Sm1 0.000 0.000 0.000
Dy1 0.000 0.335 0.000
Dy2 0.264 0.500 0.737
Dy3 0.355 0.000 0.643
Er1 0.000 0.226 0.500
Er2 0.500 0.226 0.000
Er3 0.500 0.301 0.500



No. 3
# PrNd3Ir2, relaxed, DFT PBE
# Energy of formation from the pure elements = -438 meV/atom
# Crystal system = monoclinic
# Polymorph energy (0 for the lowest one) = 119 meV per atom
data_PrNd3Ir2
_cell_length_a 16.818
_cell_length_b 5.362
_cell_length_c 7.399
_cell_angle_alpha 90.00
_cell_angle_beta 93.00
_cell_angle_gamma 90.00
_symmetry_space_group_name_H-M 'C 1 2/m 1'
_symmetry_Int_Tables_number 12
loop_
_symmetry_equiv_pos_as_xyz
'x,y,z'
'-x,-y,-z'
'-x,y,-z'
'x,-y,z'
'x+1/2,y+1/2,z'
'-x+1/2,-y+1/2,-z'
'-x+1/2,y+1/2,-z'
'x+1/2,-y+1/2,z'
loop_
_atom_site_label
_atom_site_fract_x
_atom_site_fract_y
_atom_site_fract_z
Pr1 0.195 0.000 0.345
Nd1 0.037 0.000 0.770
Nd2 0.103 0.500 0.515
Nd3 0.165 0.500 0.989
Ir1 0.010 0.500 0.183
Ir2 0.215 0.000 0.731



No. 4
# HfBAs2Pd, relaxed, DFT PBE
# Energy of formation from the pure elements = 1318 meV/atom
# Crystal system = tetragonal
data_HfBAs2Pd
_cell_length_a 5.093
_cell_length_b 5.093
_cell_length_c 5.047
_cell_angle_alpha 90.00
_cell_angle_beta 90.00
_cell_angle_gamma 90.00
_symmetry_space_group_name_H-M 'P 4/m m m'
_symmetry_Int_Tables_number 123
_symmetry_space_group_name_Hall '-P 4 2'
loop_
_atom_site_label
_atom_site_fract_x
_atom_site_fract_y
_atom_site_fract_z
Hf1 0.000 0.000 0.000
B1 0.500 0.500 0.500
As1 0.000 0.500 0.000
Pd1 0.000 0.000 0.500



No. 5
# Sm3ErTl3, relaxed, DFT PBE
# Energy of formation from the pure elements = -196 meV/atom
# Crystal system = hexagonal
# Polymorph energy (0 for the lowest one) = 66 meV per atom
data_Sm3ErTl3
_cell_length_a 9.5340
_cell_length_b 9.5340
_cell_length_c 5.3020
_cell_angle_alpha 90.00
_cell_angle_beta 90.00
_cell_angle_gamma 120.00
_symmetry_space_group_name_H-M 'P 63/m'
_symmetry_Int_Tables_number 176
_symmetry_space_group_name_Hall '-P 6c'
loop_
_atom_site_label
_atom_site_fract_x
_atom_site_fract_y
_atom_site_fract_z
Sm1 0.0027 0.2392 0.2500
Er1 0.3333 0.6667 0.2500
Tl1 0.0715 0.4520 0.7500



No. 6
# Dy2CuSe, relaxed, DFT PBE
# Crystal system = trigonal
# Formation energy from raw total energies = -0.87 eV per atom
# Polymorph energy (0 for the lowest one) = 140 meV per atom
data_Dy2CuSe
_cell_length_a 3.9421
_cell_length_b 3.9421
_cell_length_c 21.5269
_cell_angle_alpha 90.00
_cell_angle_beta 90.00
_cell_angle_gamma 120.00
_symmetry_space_group_name_H-M 'R 3 m'
_symmetry_Int_Tables_number 160
_symmetry_space_group_name_Hall 'R 3 -2"'
loop_
_atom_site_label
_atom_site_fract_x
_atom_site_fract_y
_atom_site_fract_z
Dy1 0.0000 0.0000 0.0000
Dy2 0.0000 0.0000 0.1777
Cu1 0.0000 0.0000 0.5883
Se1 0.0000 0.0000 0.7567



No. 7
# RbTlAu, relaxed, DFT PBE
# Energy of formation from the pure elements = -46 meV/atom
# Crystal system = cubic
# Polymorph energy (0 for the lowest one) = 159 meV per atom
data_RbTlAu
_cell_length_a 7.686
_cell_length_b 7.686
_cell_length_c 7.686
_cell_angle_alpha 90.00
_cell_angle_beta 90.00
_cell_angle_gamma 90.00
_symmetry_space_group_name_H-M 'F -4 3 m'
_symmetry_Int_Tables_number 216
_symmetry_space_group_name_Hall 'F -4 2 3'
loop_
_atom_site_label
_atom_site_fract_x
_atom_site_fract_y
_atom_site_fract_z
Rb1 0.000 0.000 0.000
Tl1 0.000 0.000 0.500
Au1 0.250 0.250 0.750



No. 8
# Rb5Ho2I12, relaxed, DFT PBE
# Crystal system = monoclinic
# Formation energy from raw total energies = -1.33 eV per atom
data_Rb5Ho2I12
_cell_length_a 20.587
_cell_length_b 8.720
_cell_length_c 11.967
_cell_angle_alpha 90.00
_cell_angle_beta 108.37
_cell_angle_gamma 90.00
_symmetry_space_group_name_H-M 'C 1 2/m 1'
_symmetry_Int_Tables_number 12
loop_
_symmetry_equiv_pos_as_xyz
'x,y,z'
'-x,-y,-z'
'-x,y,-z'
'x,-y,z'
'x+1/2,y+1/2,z'
'-x+1/2,-y+1/2,-z'
'-x+1/2,y+1/2,-z'
'x+1/2,-y+1/2,z'
loop_
_atom_site_label
_atom_site_fract_x
_atom_site_fract_y
_atom_site_fract_z
Rb1 0.000 0.000 0.000
Rb2 0.191 0.500 0.340
Rb3 0.205 0.500 0.855
Ho1 0.000 0.250 0.500
I1 0.005 0.500 0.684
I2 0.006 0.000 0.681
I3 0.145 0.269 0.068
I4 0.152 0.253 0.572



No. 9
# LaHgW2, relaxed, DFT PBE
# Energy of formation from the pure elements = 671 meV/atom
# Crystal system = orthorhombic
data_LaHgW2
_cell_length_a 3.412
_cell_length_b 5.076
_cell_length_c 10.242
_cell_angle_alpha 90.00
_cell_angle_beta 90.00
_cell_angle_gamma 90.00
_symmetry_space_group_name_H-M 'I m m 2'
_symmetry_Int_Tables_number 44
loop_
_symmetry_equiv_pos_as_xyz
'x,y,z'
'-x,-y,z'
'-x,y,z'
'x,-y,z'
'x+1/2,y+1/2,z+1/2'
'-x+1/2,-y+1/2,z+1/2'
'-x+1/2,y+1/2,z+1/2'
'x+1/2,-y+1/2,z+1/2'
loop_
_atom_site_label
_atom_site_fract_x
_atom_site_fract_y
_atom_site_fract_z
La1 0.000 0.000 0.000
Hg1 0.000 0.500 0.786
W1 0.000 0.000 0.547
W2 0.000 0.500 0.225



No. 10
# LaPuSi2O8, relaxed, DFT PBE
# Crystal system = tetragonal
# Formation energy from raw total energies = -2.87 eV per atom
data_LaPuSi2O8
_cell_length_a 7.122
_cell_length_b 7.122
_cell_length_c 6.283
_cell_angle_alpha 90.00
_cell_angle_beta 90.00
_cell_angle_gamma 90.00
_symmetry_space_group_name_H-M 'I -4 m 2'
_symmetry_Int_Tables_number 119
_symmetry_space_group_name_Hall 'I -4 -2'
loop_
_atom_site_label
_atom_site_fract_x
_atom_site_fract_y
_atom_site_fract_z
La1 0.000 0.000 0.000
Pu1 0.000 0.500 0.250
Si1 0.000 0.000 0.500
Si2 0.000 0.500 0.750
O1 0.000 0.186 0.341
O2 0.000 0.330 0.927



No. 11
# Rb3TbCu2Br9, relaxed, DFT PBE
# Crystal system = trigonal
# Formation energy from raw total energies = -1.28 eV per atom
data_Rb3TbCu2Br9
_cell_length_a 7.6408
_cell_length_b 7.6408
_cell_length_c 9.4526
_cell_angle_alpha 90.00
_cell_angle_beta 90.00
_cell_angle_gamma 120.00
_symmetry_space_group_name_H-M 'P -3 m 1'
_symmetry_Int_Tables_number 164
_symmetry_space_group_name_Hall '-P 3 2"'
loop_
_atom_site_label
_atom_site_fract_x
_atom_site_fract_y
_atom_site_fract_z
Rb1 0.0000 0.0000 0.0000
Rb2 0.3333 0.6667 0.6798
Tb1 0.0000 0.0000 0.5000
Cu1 0.3333 0.6667 0.1370
Br1 0.0000 0.5000 0.0000
Br2 0.1718 0.3437 0.3276



No. 12
# RuPtSe2, relaxed, DFT PBE
# Crystal system = trigonal
# Formation energy from raw total energies = -0.03 eV per atom
# Polymorph energy (0 for the lowest one) = 53 meV per atom
data_RuPtSe2
_cell_length_a 3.7970
_cell_length_b 3.7970
_cell_length_c 20.8526
_cell_angle_alpha 90.00
_cell_angle_beta 90.00
_cell_angle_gamma 120.00
_symmetry_space_group_name_H-M 'R 3 m'
_symmetry_Int_Tables_number 160
_symmetry_space_group_name_Hall 'R 3 -2"'
loop_
_atom_site_label
_atom_site_fract_x
_atom_site_fract_y
_atom_site_fract_z
Ru1 0.0000 0.0000 0.0000
Pt1 0.0000 0.0000 0.2474
Se1 0.0000 0.0000 0.5291
Se2 0.0000 0.0000 0.7075